## w
Compound: Be2TlNi2
Source: the Alexandria database
Functional: PBE
Structure: optimized geometry

Lattice parameters (Å, degrees): 6.685 6.685 2.789 90.00 90.00 90.00
Positions (direct):
Be 0.134 0.366 0.000
Be 0.366 0.866 0.000
Be 0.634 0.134 0.000
Be 0.866 0.634 0.000
Tl 0.000 0.000 0.500
Tl 0.500 0.500 0.500
Ni 0.140 0.640 0.500
Ni 0.360 0.140 0.500
Ni 0.640 0.860 0.500
Ni 0.860 0.360 0.500

Results
**Calculated density**: 9.05 g/cm3
**Size of the total moment**: 0.000 μB per atom



## x
Compound: Be2TlNi2
Source: the Alexandria database
Functional: PBE
Structure: optimized geometry

Lattice parameters (Å, degrees): 6.434 6.434 6.434 150.66 150.66 41.97
Positions (direct):
Be 0.250 0.750 0.500
Be 0.750 0.250 0.500
Tl 0.000 0.000 0.000
Ni 0.380 0.380 0.000
Ni 0.620 0.620 0.000

Results
**Calculated density**: 8.84 g/cm3
**Size of the total moment**: 0.000 μB per atom



Q: Which of them is the most stable? A: w.



## w
Compound: BeTl2Ni
Source: the Alexandria database
Functional: PBE
Structure: optimized geometry

Lattice parameters (Å, degrees): 6.423 6.423 6.423 151.30 142.05 48.26
Positions (direct):
Be 0.000 0.000 0.000
Tl 0.420 0.420 0.000
Tl 0.692 0.192 0.500
Ni 0.122 0.622 0.500

Results
**Calculated density**: 10.15 g/cm3
**Size of the total moment**: 0.000 μB per atom



## x
Compound: BeTl2Ni
Source: the Alexandria database
Functional: PBE
Structure: optimized geometry

Lattice parameters (Å, degrees): 4.683 4.683 4.683 60.00 60.00 60.00
Positions (direct):
Be 0.000 0.000 0.000
Tl 0.250 0.250 0.250
Tl 0.750 0.750 0.750
Ni 0.500 0.500 0.500

Results
**Calculated density**: 10.90 g/cm3
**Size of the total moment**: 0.000 μB per atom



Q: Which of them is the most stable? A: w.



## w
Compound: BeTl2Ni
Source: the Alexandria database
Functional: PBE
Structure: optimized geometry

Lattice parameters (Å, degrees): 4.057 3.547 5.465 90.00 110.79 90.00
Positions (direct):
Be 0.000 0.000 0.000
Tl 0.291 0.000 0.577
Tl 0.578 0.500 0.160
Ni 0.877 0.500 0.755

Results
**Calculated density**: 10.76 g/cm3
**Size of the total moment**: 0.000 μB per atom



## x
Compound: BeTl2Ni
Source: the Alexandria database
Functional: PBE
Structure: optimized geometry

Lattice parameters (Å, degrees): 3.280 4.227 5.291 90.00 90.00 90.00
Positions (direct):
Be 0.000 0.000 0.000
Tl 0.500 0.000 0.500
Tl 0.500 0.500 0.000
Ni 0.000 0.500 0.500

Results
**Calculated density**: 10.79 g/cm3
**Size of the total moment**: 0.000 μB per atom



Q: Which of them is the most stable? A: w.



## w
Compound: BeTl2Ni
Source: the Alexandria database
Functional: PBE
Structure: optimized geometry

Lattice parameters (Å, degrees): 3.412 3.295 6.611 90.00 101.30 90.00
Positions (direct):
Be 0.000 0.000 0.000
Tl 0.464 0.500 0.254
Tl 0.536 0.500 0.746
Ni 0.000 0.000 0.500

Results
**Calculated density**: 10.85 g/cm3
**Size of the total moment**: 0.000 μB per atom



## x
Compound: BeTl2Ni
Source: the Alexandria database
Functional: PBE
Structure: optimized geometry

Lattice parameters (Å, degrees): 4.410 4.410 4.817 107.51 107.51 57.50
Positions (direct):
Be 0.000 0.000 0.000
Tl 0.244 0.244 0.748
Tl 0.756 0.756 0.252
Ni 0.500 0.500 0.500

Results
**Calculated density**: 10.66 g/cm3
**Size of the total moment**: 0.000 μB per atom



Q: Which of them is the most stable? A: x.



## w
Compound: BeTl2Ni
Source: the Alexandria database
Functional: PBE
Structure: optimized geometry

Lattice parameters (Å, degrees): 7.879 7.879 7.879 24.72 24.72 24.72
Positions (direct):
Be 0.000 0.000 0.000
Tl 0.249 0.249 0.249
Tl 0.751 0.751 0.751
Ni 0.500 0.500 0.500

Results
**Calculated density**: 10.52 g/cm3
**Size of the total moment**: 0.000 μB per atom



## x
Compound: BeTl2Ni
Source: the Alexandria database
Functional: PBE
Structure: optimized geometry

Lattice parameters (Å, degrees): 9.117 9.117 9.117 152.21 152.21 39.70
Positions (direct):
Be 0.000 0.000 0.000
Be 0.750 0.250 0.500
Tl 0.121 0.625 0.996
Tl 0.375 0.371 0.496
Tl 0.629 0.125 0.004
Tl 0.875 0.879 0.504
Ni 0.250 0.750 0.500
Ni 0.500 0.500 0.000

Results
**Calculated density**: 9.63 g/cm3
**Size of the total moment**: 0.000 μB per atom



## y
Compound: BeTl2Ni
Source: the Alexandria database
Functional: PBE
Structure: optimized geometry

Lattice parameters (Å, degrees): 3.087 3.087 8.352 90.00 90.00 90.00
Positions (direct):
Be 0.000 0.000 0.000
Tl 0.000 0.000 0.332
Tl 0.500 0.500 0.721
Ni 0.500 0.500 0.059

Results
**Calculated density**: 9.94 g/cm3
**Size of the total moment**: 0.000 μB per atom



Q: Which of them is the most stable? A: y.



## w
Compound: BeTl2Ni
Source: the Alexandria database
Functional: PBE
Structure: optimized geometry

Lattice parameters (Å, degrees): 3.425 3.425 6.097 90.00 90.00 90.00
Positions (direct):
Be 0.000 0.000 0.000
Tl 0.500 0.500 0.252
Tl 0.500 0.500 0.748
Ni 0.000 0.000 0.500

Results
**Calculated density**: 11.06 g/cm3
**Size of the total moment**: 0.000 μB per atom



## x
Compound: BeTl2Ni
Source: the Alexandria database
Functional: PBE
Structure: optimized geometry

Lattice parameters (Å, degrees): 5.438 5.438 5.438 137.46 137.46 61.72
Positions (direct):
Be 0.000 0.000 0.000
Tl 0.500 0.500 0.000
Tl 0.750 0.250 0.500
Ni 0.250 0.750 0.500

Results
**Calculated density**: 10.89 g/cm3
**Size of the total moment**: 0.000 μB per atom



Q: Which of them is the most stable? A: w.



## w
Compound: BeTl2Ni
Source: the Alexandria database
Functional: PBE
Structure: optimized geometry

Lattice parameters (Å, degrees): 4.658 4.658 3.506 99.22 99.22 81.56
Positions (direct):
Be 0.000 0.000 0.000
Tl 0.000 0.500 0.500
Tl 0.500 0.000 0.500
Ni 0.500 0.500 0.000

Results
**Calculated density**: 10.76 g/cm3
**Size of the total moment**: 0.000 μB per atom



## x
Compound: BeTl2Ni
Source: the Alexandria database
Functional: PBE
Structure: optimized geometry

Lattice parameters (Å, degrees): 4.789 4.789 4.789 60.00 60.00 60.00
Positions (direct):
Be 0.000 0.000 0.000
Tl 0.250 0.250 0.250
Tl 0.500 0.500 0.500
Ni 0.750 0.750 0.750

Results
**Calculated density**: 10.18 g/cm3
**Size of the total moment**: 0.000 μB per atom



## y
Compound: BeTl2Ni
Source: the Alexandria database
Functional: PBE
Structure: optimized geometry

Lattice parameters (Å, degrees): 3.789 3.789 6.528 90.08 90.08 59.66
Positions (direct):
Be 0.000 0.000 0.000
Tl 0.333 0.333 0.726
Tl 0.335 0.335 0.275
Ni 0.667 0.667 0.000

Results
**Calculated density**: 9.78 g/cm3
**Size of the total moment**: 0.000 μB per atom



Q: Which of them is the most stable? A: y.



## w
Compound: BeTl3Ni
Source: the Alexandria database
Functional: PBE
Structure: optimized geometry

Lattice parameters (Å, degrees): 5.081 5.081 5.081 90.00 90.00 90.00
Positions (direct):
Be 0.000 0.000 0.000
Tl 0.000 0.500 0.500
Tl 0.500 0.000 0.500
Tl 0.500 0.500 0.000
Ni 0.500 0.500 0.500

Results
**Calculated density**: 8.62 g/cm3
**Size of the total moment**: 0.000 μB per atom



## x
Compound: BeTl3Ni
Source: the Alexandria database
Functional: PBE
Structure: optimized geometry

Lattice parameters (Å, degrees): 4.938 4.938 4.938 90.00 90.00 90.00
Positions (direct):
Be 0.000 0.000 0.000
Tl 0.000 0.000 0.500
Tl 0.000 0.500 0.000
Tl 0.500 0.000 0.000
Ni 0.500 0.500 0.500

Results
**Calculated density**: 9.39 g/cm3
**Size of the total moment**: 0.034 μB per atom



Q: Which of them is the most stable? A: w.